(1)
MnBiS2Cl: single point on PBEsol structure, SCAN.

Calculated values
- calculated volume (Å³ per cell) = 98.26
- DOS(E_F) (states/eV/f.u.) = 2.36
- formation energy without anion corrections (eV/atom) = -0.3924
- crystal system = tetragonal

Cell: 4.6813 4.6813 4.4837 Å, 90.00 90.00 90.00°
With the nearest neighbours (Å) after each atom.
Space group P4/mmm (No. 123)
Symmetry-distinct sites (fractional):
Mn  0.0000  0.0000  0.0000 (multiplicity 1)  2 Cl 2.24, 4 S 2.34
Bi  0.5000  0.5000  0.5000 (multiplicity 1)  8 S 3.24, 4 Cl 3.31
S  0.0000  0.5000  0.0000 (multiplicity 2)  2 Mn 2.34
Cl  0.0000  0.0000  0.5000 (multiplicity 1)  2 Mn 2.24


(2)
ReTc: single point on PBEsol structure, SCAN.

Calculated values
- calculated volume (Å³ per cell) = 57.35
- DOS(E_F) (states/eV/f.u.) = 1.73
- polymorph energy (0 for the lowest one) (eV/f.u.) = 0.116
- crystal system = orthorhombic
- energy of formation (eV/atom) = 0.045

Cell: 2.7225 3.8559 5.4630 Å, 90.00 90.00 90.00°
With the nearest neighbours (Å) after each atom.
Space group Pmmn (No. 59, origin choice 2)
Symmetry-distinct sites (fractional):
Re  0.2500  0.2500  0.1269 (multiplicity 2)  6 Tc 2.71-2.75, 6 Re 2.72-2.74
Tc  0.2500  0.2500  0.6231 (multiplicity 2)  6 Re 2.71-2.75, 6 Tc 2.72


(3)
AlMoAu2: single point on PBEsol structure, SCAN.

Calculated values
- calculated volume (Å³ per cell) = 127.39
- DOS(E_F) (states/eV/f.u.) = 2.22
- crystal system = orthorhombic
- energy of formation (eV/atom) = -0.042

Cell: 5.5139 8.3486 2.7672 Å, 90.00 90.00 90.00°
With the nearest neighbours (Å) after each atom.
Space group Cmmm (No. 65)
Symmetry-distinct sites (fractional):
Al  0.0000  0.0000  0.0000 (multiplicity 2)  2 Mo 2.76, 2 Al 2.77, 8 Au 2.86
Mo  0.0000  0.5000  0.0000 (multiplicity 2)  2 Al 2.76, 2 Mo 2.77, 8 Au 2.86
Au  0.2500  0.2500  0.5000 (multiplicity 4)  4 Au 2.76-2.77, 4 Al 2.86, 4 Mo 2.86


(4)
Al3TcN: single point on PBEsol structure, SCAN.

Calculated values
- calculated volume (Å³ per cell) = 61.46
- DOS(E_F) (states/eV/f.u.) = 0.81
- formation energy without anion corrections (eV/atom) = -0.3554
- crystal system = cubic

Cell: 3.9463 3.9463 3.9463 Å, 90.00 90.00 90.00°
With the nearest neighbours (Å) after each atom.
Space group Pm-3m (No. 221)
Symmetry-distinct sites (fractional):
Al  0.0000  0.0000  0.5000 (multiplicity 3)  2 N 1.97
Tc  0.5000  0.5000  0.5000 (multiplicity 1)  12 Al 2.79
N  0.0000  0.0000  0.0000 (multiplicity 1)  6 Al 1.97


(5)
CaAg2Pb: single point on PBEsol structure, SCAN.

Calculated values
- calculated volume (Å³ per cell) = 88.91
- DOS(E_F) (states/eV/f.u.) = 1.62
- crystal system = tetragonal
- energy of formation (eV/atom) = -0.218

Cell: 4.6231 4.6231 4.1598 Å, 90.00 90.00 90.00°
With the nearest neighbours (Å) after each atom.
Space group P4/mmm (No. 123)
Symmetry-distinct sites (fractional):
Ca  0.0000  0.0000  0.0000 (multiplicity 1)  8 Ag 3.11, 4 Pb 3.27
Ag  0.0000  0.5000  0.5000 (multiplicity 2)  4 Pb 3.11, 4 Ca 3.11, 4 Ag 3.27
Pb  0.5000  0.5000  0.0000 (multiplicity 1)  8 Ag 3.11, 4 Ca 3.27


(6)
LiTc: single point on PBEsol structure, SCAN.

Calculated values
- calculated volume (Å³ per cell) = 23.83
- DOS(E_F) (states/eV/f.u.) = 1.88
- polymorph energy (0 for the lowest one) (eV/f.u.) = 1.436
- crystal system = cubic
- energy of formation (eV/atom) = 0.824

Cell: 2.8776 2.8776 2.8776 Å, 90.00 90.00 90.00°
With the nearest neighbours (Å) after each atom.
Space group Pm-3m (No. 221)
Symmetry-distinct sites (fractional):
Li  0.0000  0.0000  0.0000 (multiplicity 1)  8 Tc 2.49
Tc  0.5000  0.5000  0.5000 (multiplicity 1)  8 Li 2.49


(7)
Ba4MgHg: single point on PBEsol structure, SCAN.

Calculated values
- calculated volume (Å³ per cell) = 1051.68
- DOS(E_F) (states/eV/f.u.) = 6.18
- crystal system = cubic
- energy of formation (eV/atom) = 0.330

Cell: 10.1694 10.1694 10.1694 Å, 90.00 90.00 90.00°
With the nearest neighbours (Å) after each atom.
Space group F-43m (No. 216)
Symmetry-distinct sites (fractional):
Ba  0.1245  0.1245  0.1245 (multiplicity 16)  6 Ba 3.58-3.61
Mg  0.0000  0.0000  0.5000 (multiplicity 4)  12 Ba 4.22, 4 Hg 4.40
Hg  0.2500  0.2500  0.7500 (multiplicity 4)  12 Ba 4.21, 4 Mg 4.40


(8)
PrTeCl: single point on PBEsol structure, SCAN.

Calculated values
- calculated volume (Å³ per cell) = 160.26
- formation energy without anion corrections (eV/atom) = -2.0947
- crystal system = tetragonal

Cell: 4.4266 4.4266 8.1791 Å, 90.00 90.00 90.00°
With the nearest neighbours (Å) after each atom.
Space group P4/nmm (No. 129, origin choice 2)
Symmetry-distinct sites (fractional):
Pr  0.2500  0.2500  0.2381 (multiplicity 2)  4 Cl 2.95, 5 Te 3.24-3.30
Te  0.2500  0.2500  0.6342 (multiplicity 2)  5 Pr 3.24-3.30
Cl  0.2500  0.7500  0.0000 (multiplicity 2)  4 Pr 2.95, 4 Cl 3.13